Entry one
The following is a PBE calculation of a geometry-optimized CaY2Pt structure, from the Alexandria database.

```
CaY2Pt
1.0
-4.037 0.818 -0.045
-2.424 -1.750 -2.833
-3.647 -7.377 4.682
Y Ca Pt
2 1 1
Direct
0.279 0.279 0.163
0.054 0.054 0.839
0.501 0.501 0.497
0.666 0.666 0.001
```

Properties
**Total moment**: 0.000 μB/f.u.
**Theoretical density**: 5.092 g/cm3

=====

Entry two
The following is a PBE calculation of a geometry-optimized CaY2Pt structure, from the Alexandria database.

```
CaY2Pt
1.0
2.165 -4.118 -2.366
1.166 -4.278 2.755
-2.767 -4.374 -0.676
Y Pt Ca
2 1 1
Direct
0.750 0.750 0.750
0.250 0.250 0.250
0.500 0.500 0.500
0.000 0.000 0.000
```

Properties
**Total moment**: 0.000 μB/f.u.
**Theoretical density**: 6.820 g/cm3

=====

Least stable structure: entry two

=====

Entry one
The following is a PBE calculation of a geometry-optimized CaY2Pt structure, from the Alexandria database.

```
CaY2Pt
1.0
5.861 -0.020 -0.059
-2.661 5.512 0.004
0.540 1.060 3.222
Y Pt Ca
2 1 1
Direct
0.500 0.000 0.500
0.000 0.000 0.000
0.500 0.500 0.000
0.000 0.500 0.500
```

Properties
**Total moment**: 0.000 μB/f.u.
**Theoretical density**: 6.578 g/cm3

=====

Entry two
The following is a PBE calculation of a geometry-optimized CaY2Pt structure, from the Alexandria database.

```
CaY2Pt
1.0
-1.471 -2.019 -4.593
3.272 -3.086 -2.667
-0.984 -5.119 -0.410
Y Ca Pt
2 1 1
Direct
0.000 0.000 0.000
0.250 0.250 0.250
0.500 0.500 0.500
0.750 0.750 0.750
```

Properties
**Total moment**: 0.363 μB/f.u.
**Theoretical density**: 6.785 g/cm3

=====

Least stable structure: entry one

=====

Entry one
The following is a PBE calculation of a geometry-optimized Ca2YPt structure, from the Alexandria database.

```
Ca2YPt
1.0
3.858 0.000 0.000
0.000 4.104 -0.003
0.000 2.062 8.147
Pt Ca Y
1 2 1
Direct
0.000 0.269 0.587
0.500 0.414 0.296
0.000 0.084 0.956
0.500 0.733 0.660
```

Properties
**Total moment**: 0.000 μB/f.u.
**Theoretical density**: 4.686 g/cm3

=====

Entry two
The following is a PBE calculation of a geometry-optimized Ca2YPt structure, from the Alexandria database.

```
Ca2YPt
1.0
-2.812 0.091 3.401
-0.528 -4.371 -0.321
4.079 -0.742 3.392
Ca Pt Y
2 1 1
Direct
0.500 0.500 0.000
0.000 0.000 0.000
0.500 0.000 0.500
0.000 0.500 0.500
```

Properties
**Total moment**: 0.000 μB/f.u.
**Theoretical density**: 5.794 g/cm3

=====

Least stable structure: entry two

=====

Entry one
The following is a PBE calculation of a geometry-optimized Ca2YPt structure, from the Alexandria database.

```
Ca2YPt
1.0
7.912 0.461 -0.058
5.369 5.829 0.058
-6.250 -3.971 2.827
Ca Y Pt
2 1 1
Direct
0.582 0.582 0.000
0.918 0.918 0.000
0.250 0.750 0.500
0.750 0.250 0.500
```

Properties
**Total moment**: 0.000 μB/f.u.
**Theoretical density**: 4.871 g/cm3

=====

Entry two
The following is a PBE calculation of a geometry-optimized Ca2YPt structure, from the Alexandria database.

```
Ca2YPt
1.0
-1.333 -2.488 4.416
4.674 1.113 2.093
-3.027 3.826 -1.897
Pt Ca Y
1 2 1
Direct
0.500 0.500 0.000
0.250 0.750 0.500
0.000 0.000 0.000
0.750 0.250 0.500
```

Properties
**Total moment**: 0.000 μB/f.u.
**Theoretical density**: 5.985 g/cm3

=====

Least stable structure: entry two